K2NiClO | PBE+U | optimized geometry

raw total energy	-12.27	eV/cell
DOS at the Fermi energy	3.277	states/eV per cell

Unit cell a=5.8924 b=4.0619 c=5.8924 alpha=90.00 beta=90.00 gamma=90.00
Sites, in units of the cell vectors:
Ni1 0.0000 0.5000 0.0000
K1 0.0000 0.0000 0.5000
K2 0.5000 0.0000 0.0000
O1 0.5000 0.5000 0.5000
Cl1 0.0000 0.0000 0.0000